Entry from Alexandria via LeMat-Bulk: crystalline LiSm2PbO at its relaxed geometry (PBE).

Cell: 4.8872 4.8872 4.4766 Å, 90.00 90.00 90.00°
Atoms (fractional coordinates):
Li: 0.0000 0.0000 0.0000
Sm: 0.0000 0.5000 0.5000
Sm: 0.5000 0.0000 0.5000
Pb: 0.5000 0.5000 0.0000
O: 0.0000 0.0000 0.5000

Values from the calculation:
- VASP energy: -5.43 eV per atom
- Magnetization: 0.00 Bohr magnetons per cell
- Uncorrected formation energy: -1.429 eV/atom
- Volume: 21.39 Å³/atom